Sr2Ca6Mn7FeO24 after structural relaxation. Source: the Alexandria database, functional PBE+U.

Calculated values
total energy: -6.794 eV per atom
SG: Amm2, No. 38

Unit cell a=7.667 b=7.668 c=7.668 alpha=90.01 beta=90.00 gamma=90.00
Atoms (fractional coordinates):
Sr1 0.250 0.000 0.000
Sr2 0.750 0.000 0.000
Ca1 0.250 0.000 0.500
Ca2 0.250 0.500 0.000
Ca3 0.250 0.500 0.500
Ca4 0.750 0.000 0.500
Ca5 0.750 0.500 0.000
Ca6 0.750 0.500 0.500
Mn1 0.000 0.251 0.251
Mn2 0.000 0.251 0.749
Mn3 0.000 0.749 0.251
Mn4 0.000 0.749 0.749
Mn5 0.500 0.251 0.748
Mn6 0.500 0.748 0.251
Mn7 0.500 0.749 0.749
Fe1 0.500 0.251 0.251
O1 0.000 0.000 0.743
O2 0.000 0.252 0.500
O3 0.000 0.257 0.999
O4 0.000 0.500 0.252
O5 0.000 0.500 0.748
O6 0.000 0.743 0.000
O7 0.000 0.748 0.500
O8 0.000 0.999 0.257
O9 0.247 0.253 0.253
O10 0.249 0.254 0.745
O11 0.249 0.745 0.254
O12 0.250 0.746 0.746
O13 0.500 0.252 0.503
O14 0.500 0.255 0.996
O15 0.500 0.500 0.748
O16 0.500 0.503 0.252
O17 0.500 0.742 0.999
O18 0.500 0.748 0.500
O19 0.500 0.996 0.255
O20 0.500 0.999 0.742
O21 0.750 0.746 0.746
O22 0.751 0.254 0.745
O23 0.751 0.745 0.254
O24 0.753 0.253 0.253